An optimized crystal structure of Tb3PuS6. Source: Alexandria via LeMat-Bulk, functional PBE.

a b c (Å): 11.101 3.985 11.296
angles (deg): 90.00 108.48 90.00
Sites, in units of the cell vectors:
1 Tb 0.068 0.250 0.168
2 Tb 0.180 0.750 0.503
3 Tb 0.340 0.250 0.917
4 Tb 0.660 0.750 0.083
5 Tb 0.820 0.250 0.497
6 Tb 0.932 0.750 0.832
7 Pu 0.454 0.250 0.313
8 Pu 0.546 0.750 0.687
9 S 0.022 0.250 0.388
10 S 0.101 0.250 0.935
11 S 0.245 0.750 0.277
12 S 0.308 0.750 0.751
13 S 0.386 0.250 0.540
14 S 0.418 0.750 0.100
15 S 0.582 0.250 0.900
16 S 0.614 0.750 0.460
17 S 0.692 0.250 0.249
18 S 0.755 0.250 0.723
19 S 0.899 0.750 0.065
20 S 0.978 0.750 0.612

Computed properties:
Raw formation energy ... -189 kJ/mol of atoms
Density of states at the Fermi level ... 1.05 states/eV per atom
Crystal system ... monoclinic